VASP calculation (PBE) on a relaxed structure of Sr2Cu2Ge3.

a = 9.805 Å, b = 9.805 Å, c = 6.953 Å
α = 90.00°, β = 90.00°, γ = 153.18°
Atoms (fractional coordinates):
Sr 0.057 0.943 0.750
Sr 0.163 0.837 0.250
Sr 0.837 0.163 0.750
Sr 0.943 0.057 0.250
Cu 0.315 0.685 0.069
Cu 0.315 0.685 0.431
Cu 0.685 0.315 0.569
Cu 0.685 0.315 0.931
Ge 0.225 0.775 0.750
Ge 0.439 0.561 0.571
Ge 0.439 0.561 0.929
Ge 0.561 0.439 0.071
Ge 0.561 0.439 0.429
Ge 0.775 0.225 0.250

Properties
Total moment: 0.000 μB per atom
Calculated formation energy: -382 meV/atom

VASP calculation (PBE) on a relaxed structure of Hf3V.

a = 5.750 Å, b = 5.750 Å, c = 5.750 Å
α = 145.60°, β = 129.99°, γ = 62.11°
Atoms (fractional coordinates):
Hf 0.000 0.000 0.000
Hf 0.278 0.778 0.500
Hf 0.722 0.222 0.500
V 0.500 0.500 0.000

Properties
ΔE to the lowest computed polymorph: 0 meV/atom
Total moment: 0.507 μB per atom
Calculated formation energy: 134 meV/atom

VASP calculation (PBE) on a relaxed structure of KRbTl.

a = 6.206 Å, b = 7.022 Å, c = 8.982 Å
α = 68.04°, β = 70.15°, γ = 63.85°
Atoms (fractional coordinates):
K 0.000 0.000 0.000
K 0.201 0.120 0.477
Rb 0.597 0.564 0.242
Rb 0.815 0.664 0.708
Tl 0.304 0.362 0.027
Tl 0.511 0.276 0.705

Properties
ΔE to the lowest computed polymorph: 19 meV/atom
Total moment: 0.000 μB per atom
Calculated formation energy: -36 meV/atom

VASP calculation (PBE) on a relaxed structure of HoErPu2Se4.

a = 7.045 Å, b = 4.071 Å, c = 7.167 Å
α = 90.00°, β = 109.17°, γ = 90.00°
Atoms (fractional coordinates):
Ho 0.000 0.000 0.000
Er 0.500 0.500 0.000
Pu 0.000 0.500 0.500
Pu 0.500 0.000 0.500
Se 0.248 0.500 0.242
Se 0.254 0.000 0.758
Se 0.746 0.000 0.242
Se 0.752 0.500 0.758

Properties
Total moment: 1.476 μB per atom
Formation energy without anion corrections: -1652 meV/atom

VASP calculation (PBE) on a relaxed structure of MgTl2Sb.

a = 3.334 Å, b = 3.334 Å, c = 10.290 Å
α = 90.00°, β = 90.00°, γ = 98.18°
Atoms (fractional coordinates):
Mg 0.000 0.000 0.000
Tl 0.500 0.500 0.245
Tl 0.500 0.500 0.755
Sb 0.000 0.000 0.500

Properties
ΔE to the lowest computed polymorph: 131 meV/atom
Total moment: 0.000 μB per atom
Formation energy without anion corrections: 73 meV/atom

VASP calculation (PBE) on a relaxed structure of BeSi2Pb.

a = 3.644 Å, b = 3.747 Å, c = 5.369 Å
α = 90.00°, β = 90.00°, γ = 90.00°
Atoms (fractional coordinates):
Be 0.000 0.000 0.000
Si 0.000 0.500 0.500
Si 0.500 0.000 0.500
Pb 0.500 0.500 0.000

Properties
ΔE to the lowest computed polymorph: 386 meV/atom
Total moment: 0.000 μB per atom
Formation energy without anion corrections: 749 meV/atom

VASP calculation (PBE) on a relaxed structure of HfSiRh3.

a = 6.086 Å, b = 6.086 Å, c = 6.086 Å
α = 127.04°, β = 103.28°, γ = 99.66°
Atoms (fractional coordinates):
Hf 0.260 0.010 0.250
Hf 0.740 0.990 0.750
Si 0.000 0.500 0.500
Si 0.500 0.500 0.000
Rh 0.079 0.329 0.750
Rh 0.305 0.000 0.805
Rh 0.305 0.500 0.305
Rh 0.695 0.000 0.195
Rh 0.695 0.500 0.695
Rh 0.921 0.671 0.250

Properties
ΔE to the lowest computed polymorph: 0 meV/atom
Total moment: 0.000 μB per atom
Formation energy without anion corrections: -660 meV/atom

VASP calculation (PBE) on a relaxed structure of Al3ZnOs.

a = 4.451 Å, b = 4.451 Å, c = 4.451 Å
α = 90.00°, β = 90.00°, γ = 90.00°
Atoms (fractional coordinates):
Al 0.000 0.000 0.500
Al 0.000 0.500 0.000
Al 0.500 0.000 0.000
Zn 0.000 0.000 0.000
Os 0.500 0.500 0.500

Properties
ΔE to the lowest computed polymorph: 964 meV/atom
Total moment: 0.000 μB per atom
Calculated formation energy: 1097 meV/atom

VASP calculation (PBE) on a relaxed structure of La4C2Cl5.

a = 9.882 Å, b = 9.882 Å, c = 7.996 Å
α = 113.80°, β = 113.80°, γ = 23.25°
Atoms (fractional coordinates):
La 0.000 0.000 0.213
La 0.000 0.000 0.787
La 0.330 0.330 0.830
La 0.670 0.670 0.170
C 0.460 0.460 0.960
C 0.540 0.540 0.040
Cl 0.167 0.167 0.436
Cl 0.167 0.167 0.897
Cl 0.500 0.500 0.500
Cl 0.833 0.833 0.103
Cl 0.833 0.833 0.564

Properties
Total moment: 0.000 μB per atom
Formation energy without anion corrections: -1699 meV/atom

VASP calculation (PBE) on a relaxed structure of Y4Be5.

a = 7.363 Å, b = 7.363 Å, c = 7.363 Å
α = 93.90°, β = 93.90°, γ = 149.77°
Atoms (fractional coordinates):
Y 0.000 0.283 0.283
Y 0.000 0.717 0.717
Y 0.283 0.000 0.283
Y 0.717 0.000 0.717
Be 0.000 0.000 0.000
Be 0.282 0.282 0.564
Be 0.282 0.718 0.000
Be 0.718 0.282 0.000
Be 0.718 0.718 0.436

Properties
ΔE to the lowest computed polymorph: 37 meV/atom
Total moment: 0.000 μB per atom
Calculated formation energy: 361 meV/atom

VASP calculation (PBE) on a relaxed structure of VZnH.

a = 4.331 Å, b = 4.331 Å, c = 2.378 Å
α = 90.00°, β = 90.00°, γ = 120.00°
Atoms (fractional coordinates):
V 0.000 0.000 0.000
Zn 0.667 0.333 0.000
H 0.333 0.667 0.500

Properties
ΔE to the lowest computed polymorph: 1230 meV/atom
Total moment: 0.433 μB per atom

VASP calculation (PBE) on a relaxed structure of Er2CF2.

a = 3.533 Å, b = 3.533 Å, c = 8.293 Å
α = 104.28°, β = 104.28°, γ = 59.95°
Atoms (fractional coordinates):
Er 0.101 0.101 0.330
Er 0.899 0.899 0.670
C 0.500 0.500 0.500
F 0.288 0.288 0.817
F 0.712 0.712 0.183

Properties
Total moment: 0.000 μB per atom
Formation energy without anion corrections: -2427 meV/atom

VASP calculation (PBE) on a relaxed structure of La4Pr5In.

a = 4.334 Å, b = 4.334 Å, c = 18.526 Å
α = 90.00°, β = 90.00°, γ = 90.00°
Atoms (fractional coordinates):
La 0.000 0.000 0.104
La 0.000 0.000 0.303
La 0.000 0.000 0.697
La 0.000 0.000 0.896
Pr 0.500 0.500 0.000
Pr 0.500 0.500 0.210
Pr 0.500 0.500 0.413
Pr 0.500 0.500 0.587
Pr 0.500 0.500 0.790
In 0.000 0.000 0.500

Properties
ΔE to the lowest computed polymorph: 0 meV/atom
Total moment: 0.000 μB per atom
Calculated formation energy: -20 meV/atom

VASP calculation (PBE) on a relaxed structure of Co2Sn2S.

a = 8.078 Å, b = 8.078 Å, c = 8.078 Å
α = 155.64°, β = 155.64°, γ = 34.73°
Atoms (fractional coordinates):
Co 0.250 0.750 0.500
Co 0.750 0.250 0.500
Sn 0.113 0.113 0.000
Sn 0.887 0.887 0.000
S 0.500 0.500 0.000

Properties
ΔE to the lowest computed polymorph: 0 meV/atom
Total moment: 0.538 μB per atom
Formation energy without anion corrections: 213 meV/atom

VASP calculation (PBE) on a relaxed structure of Ac3Pd3Au.

a = 6.262 Å, b = 6.262 Å, c = 16.013 Å
α = 109.18°, β = 109.18°, γ = 40.82°
Atoms (fractional coordinates):
Ac 0.056 0.056 0.397
Ac 0.099 0.099 0.924
Ac 0.244 0.244 0.224
Ac 0.756 0.756 0.776
Ac 0.901 0.901 0.076
Ac 0.944 0.944 0.603
Pd 0.377 0.377 0.925
Pd 0.382 0.382 0.448
Pd 0.484 0.484 0.776
Pd 0.516 0.516 0.224
Pd 0.618 0.618 0.552
Pd 0.623 0.623 0.075
Au 0.257 0.257 0.628
Au 0.743 0.743 0.372

Properties
ΔE to the lowest computed polymorph: 0 meV/atom
Total moment: 0.000 μB per atom
Calculated formation energy: -804 meV/atom

VASP calculation (PBE) on a relaxed structure of FeBiW2Cl.

a = 4.352 Å, b = 4.352 Å, c = 5.392 Å
α = 90.00°, β = 90.00°, γ = 90.00°
Atoms (fractional coordinates):
Fe 0.000 0.000 0.000
Bi 0.500 0.500 0.000
W 0.000 0.500 0.500
W 0.500 0.000 0.500
Cl 0.500 0.500 0.500

Properties
Total moment: 0.010 μB per atom
Formation energy without anion corrections: 2144 meV/atom

VASP calculation (PBE) on a relaxed structure of TaRe2Au.

a = 4.532 Å, b = 4.532 Å, c = 4.532 Å
α = 60.00°, β = 60.00°, γ = 60.00°
Atoms (fractional coordinates):
Ta 0.000 0.000 0.000
Re 0.500 0.500 0.500
Re 0.750 0.750 0.750
Au 0.250 0.250 0.250

Properties
ΔE to the lowest computed polymorph: 296 meV/atom
Total moment: 0.000 μB per atom
Calculated formation energy: 365 meV/atom

VASP calculation (PBE) on a relaxed structure of MgRe.

a = 2.686 Å, b = 2.686 Å, c = 4.629 Å
α = 90.00°, β = 90.00°, γ = 106.76°
Atoms (fractional coordinates):
Mg 0.000 0.000 0.000
Re 0.500 0.500 0.500

Properties
ΔE to the lowest computed polymorph: 221 meV/atom
Total moment: 0.000 μB per atom
Calculated formation energy: 288 meV/atom

VASP calculation (PBE) on a relaxed structure of Sc2Mn2AlFe5.

a = 9.346 Å, b = 9.346 Å, c = 3.035 Å
α = 90.00°, β = 90.00°, γ = 90.00°
Atoms (fractional coordinates):
Sc 0.173 0.327 0.000
Sc 0.327 0.827 0.000
Sc 0.673 0.173 0.000
Sc 0.827 0.673 0.000
Mn 0.133 0.633 0.000
Mn 0.367 0.133 0.000
Mn 0.633 0.867 0.000
Mn 0.867 0.367 0.000
Al 0.000 0.000 0.000
Al 0.500 0.500 0.000
Fe 0.000 0.500 0.500
Fe 0.061 0.795 0.500
Fe 0.205 0.061 0.500
Fe 0.295 0.561 0.500
Fe 0.439 0.295 0.500
Fe 0.500 0.000 0.500
Fe 0.561 0.705 0.500
Fe 0.705 0.439 0.500
Fe 0.795 0.939 0.500
Fe 0.939 0.205 0.500

Properties
Total moment: 0.220 μB per atom
Calculated formation energy: 51 meV/atom